[1]
The following is a PBE calculation of an optimized crystal structure of Dy2ErIn, from Alexandria via LeMat-Bulk.

**Space-group type**: No. 123
**E_tot**: -17.6 eV per cell
**Calculated formation energy**: -0.265 eV per atom
**Calculated volume**: 112.6 Å³/cell
**Excess energy over the best structure of this formula in the dataset**: 0 meV/atom

a = 4.8272 Å, b = 4.8300 Å, c = 4.8300 Å
α = 90.00°, β = 90.00°, γ = 90.00°
Closest atoms and distances in Å follow each position.
Atoms (fractional coordinates):
In1 0.5000 0.0000 0.0000  8 Dy 3.41, 4 Er 3.42
Dy1 0.0000 0.0000 0.5000  4 In 3.41, 4 Er 3.41, 4 Dy 3.42
Dy2 0.0000 0.5000 0.0000  4 Er 3.41, 4 In 3.41, 4 Dy 3.42
Er1 0.5000 0.5000 0.5000  8 Dy 3.41, 4 In 3.42

***

[2]
The following is a PBE calculation of an optimized crystal structure of Dy9Er2In, from Alexandria via LeMat-Bulk.

**Space-group type**: No. 123
**E_tot**: -54.1 eV per cell
**Calculated formation energy**: -0.069 eV per atom
**Calculated volume**: 364.4 Å³/cell

a = 4.9254 Å, b = 4.9254 Å, c = 15.0230 Å
α = 90.00°, β = 90.00°, γ = 90.00°
Closest atoms and distances in Å follow each position.
Atoms (fractional coordinates):
Dy1 0.0000 0.5000 0.1624  8 Dy 3.47-3.51, 2 In 3.47, 2 Er 3.55
Er1 0.0000 0.0000 0.3326  12 Dy 3.48-3.55
Dy2 0.0000 0.5000 0.5000  8 Dy 3.48-3.56, 4 Er 3.52
Dy3 0.0000 0.5000 0.8376  8 Dy 3.47-3.51, 2 In 3.47, 2 Er 3.55
Dy4 0.5000 0.5000 0.0000  8 Dy 3.47, 4 In 3.48
Er2 0.0000 0.0000 0.6674  12 Dy 3.48-3.55
Dy5 0.5000 0.0000 0.5000  8 Dy 3.48-3.56, 4 Er 3.52
Dy6 0.5000 0.0000 0.8376  2 In 3.47, 8 Dy 3.47-3.51, 2 Er 3.55
In1 0.0000 0.0000 0.0000  12 Dy 3.47-3.48
Dy7 0.5000 0.0000 0.1624  2 In 3.47, 8 Dy 3.47-3.51, 2 Er 3.55
Dy8 0.5000 0.5000 0.6709  4 Er 3.48, 8 Dy 3.51-3.56
Dy9 0.5000 0.5000 0.3291  4 Er 3.48, 8 Dy 3.51-3.56

***

[3]
The following is a PBE calculation of an optimized crystal structure of Dy6ErIn, from Alexandria via LeMat-Bulk.

**Space-group type**: No. 12
**E_tot**: -34.6 eV per cell
**Calculated formation energy**: 0.035 eV per atom
**Calculated volume**: 242.9 Å³/cell
**Excess energy over the best structure of this formula in the dataset**: 152 meV/atom

a = 6.5537 Å, b = 6.5537 Å, c = 9.2532 Å
α = 110.95°, β = 110.95°, γ = 119.63°
Closest atoms and distances in Å follow each position.
Atoms (fractional coordinates):
Dy1 0.7464 0.3145 0.7516  1 In 3.28, 1 Er 3.28, 6 Dy 3.34-3.39
In1 0.0000 0.0000 0.0000  2 Er 3.25, 6 Dy 3.26-3.28
Er1 0.5000 0.5000 0.5000  2 In 3.25, 6 Dy 3.27-3.28
Dy2 0.2536 0.6855 0.2484  1 In 3.28, 1 Er 3.28, 6 Dy 3.34-3.39
Dy3 0.6855 0.2536 0.2484  1 In 3.28, 1 Er 3.28, 6 Dy 3.34-3.39
Dy4 0.3145 0.7464 0.7516  1 In 3.28, 1 Er 3.28, 6 Dy 3.34-3.39
Dy5 0.8188 0.8188 0.2484  1 In 3.26, 1 Er 3.27, 6 Dy 3.36-3.40
Dy6 0.1812 0.1812 0.7516  1 In 3.26, 1 Er 3.27, 6 Dy 3.36-3.40

***

[4]
The following is a PBE calculation of an optimized crystal structure of DyEr5In, from Alexandria via LeMat-Bulk.

**Space-group type**: No. 44
**E_tot**: -25.0 eV per cell
**Calculated formation energy**: 0.734 eV per atom
**Calculated volume**: 277.0 Å³/cell

a = 6.1139 Å, b = 7.9232 Å, c = 7.5980 Å
α = 121.43°, β = 113.72°, γ = 90.00°
Closest atoms and distances in Å follow each position.
Atoms (fractional coordinates):
Er1 0.4746 0.2523 0.5047  1 In 3.00, 2 Er 3.30
In1 0.5620 0.5000 0.0000  6 Er 2.88-3.21
Er2 0.3285 0.1850 0.0000  1 In 2.88, 2 Er 2.93-3.07
Er3 0.3285 0.8150 0.0000  1 In 2.88, 2 Er 2.93-3.07
Er4 0.0374 0.5000 0.0000  2 In 2.91-3.21, 2 Er 3.07
Er5 0.9699 0.7477 0.4953  1 In 3.00, 2 Er 3.30
Dy1 0.8298 0.0000 0.0000  6 Er 3.38-3.75

***

[5]
The following is a PBE calculation of an optimized crystal structure of Dy5Er12In2, from Alexandria via LeMat-Bulk.

**Space-group type**: No. 12
**E_tot**: -83.3 eV per cell
**Calculated formation energy**: -0.005 eV per atom
**Calculated volume**: 579.6 Å³/cell

a = 9.2135 Å, b = 8.9209 Å, c = 8.2375 Å
α = 91.30°, β = 90.00°, γ = 121.09°
Closest atoms and distances in Å follow each position.
Atoms (fractional coordinates):
Er1 0.9640 0.2976 0.2374  1 In 3.21, 4 Er 3.34-3.52, 2 Dy 3.51-3.54
Dy1 0.6913 0.3826 0.0075  2 In 3.36, 8 Er 3.40-3.63, 1 Dy 3.56
Dy2 0.2343 0.4686 0.5791  10 Er 3.32-3.71, 2 Dy 3.56-3.62
Er2 0.0839 0.1678 0.8843  5 Er 3.23-3.49, 2 In 3.36, 3 Dy 3.38-3.53
Er3 0.5535 0.1070 0.3250  2 In 3.24, 7 Er 3.28-3.47, 2 Dy 3.32-3.40
Er4 0.3336 0.2976 0.2374  1 In 3.21, 4 Er 3.34-3.52, 2 Dy 3.51-3.54
Er5 0.9161 0.8322 0.1157  5 Er 3.23-3.49, 2 In 3.36, 3 Dy 3.38-3.53
In1 0.3191 0.0000 0.0000  8 Er 3.21-3.42, 1 In 3.33, 2 Dy 3.36
Dy3 0.0000 0.0000 0.5000  10 Er 3.38-3.63, 2 Dy 3.62
Er6 0.0360 0.7024 0.7626  1 In 3.21, 4 Er 3.34-3.52, 2 Dy 3.51-3.54
Er7 0.4465 0.8930 0.6750  2 In 3.24, 7 Er 3.28-3.47, 2 Dy 3.32-3.40
Er8 0.4302 0.2513 0.6623  5 Er 3.28-3.60, 4 Dy 3.34-3.63, 1 In 3.42
Er9 0.8212 0.2513 0.6623  5 Er 3.28-3.60, 4 Dy 3.34-3.63, 1 In 3.42
Dy4 0.7657 0.5314 0.4209  10 Er 3.32-3.71, 2 Dy 3.56-3.62
Er10 0.1788 0.7487 0.3377  5 Er 3.28-3.60, 4 Dy 3.34-3.63, 1 In 3.42
Dy5 0.3087 0.6174 0.9925  2 In 3.36, 8 Er 3.40-3.63, 1 Dy 3.56
In2 0.6809 0.0000 0.0000  8 Er 3.21-3.42, 1 In 3.33, 2 Dy 3.36
Er11 0.5698 0.7487 0.3377  5 Er 3.28-3.60, 4 Dy 3.34-3.63, 1 In 3.42
Er12 0.6664 0.7024 0.7626  1 In 3.21, 4 Er 3.34-3.52, 2 Dy 3.51-3.54

***

[6]
The following is a PBE calculation of an optimized crystal structure of Dy5Er4In2, from Alexandria via LeMat-Bulk.

**Space-group type**: No. 12
**E_tot**: -46.4 eV per cell
**Calculated formation energy**: 0.034 eV per atom
**Calculated volume**: 337.6 Å³/cell

a = 3.4408 Å, b = 8.0357 Å, c = 12.3303 Å
α = 90.22°, β = 98.02°, γ = 90.00°
Closest atoms and distances in Å follow each position.
Atoms (fractional coordinates):
In1 0.3469 0.4401 0.6938  5 Dy 3.18-3.25, 4 Er 3.27-3.32, 2 In 3.44
Dy1 0.8399 0.1003 0.6797  2 In 3.23, 2 Er 3.41-3.43, 3 Dy 3.44-3.56
Dy2 0.5000 0.0000 0.0000  8 Er 3.42-3.48, 2 Dy 3.44
Dy3 0.7748 0.7028 0.5497  3 In 3.18-3.25, 1 Er 3.34, 3 Dy 3.44-3.56
Er1 0.0888 0.2641 0.1775  4 Er 3.31-3.44, 2 In 3.32, 4 Dy 3.34-3.48
Er2 0.9112 0.7359 0.8225  4 Er 3.31-3.44, 2 In 3.32, 4 Dy 3.34-3.48
Er3 0.0442 0.6578 0.0884  2 In 3.27, 5 Er 3.31-3.44, 3 Dy 3.42-3.43
Er4 0.9558 0.3422 0.9116  2 In 3.27, 5 Er 3.31-3.44, 3 Dy 3.42-3.43
Dy4 0.1601 0.8997 0.3203  2 In 3.23, 2 Er 3.41-3.43, 3 Dy 3.44-3.56
Dy5 0.2252 0.2972 0.4503  3 In 3.18-3.25, 1 Er 3.34, 3 Dy 3.44-3.56
In2 0.6531 0.5599 0.3062  5 Dy 3.18-3.25, 4 Er 3.27-3.32, 2 In 3.44

***

[7]
The following is a PBE calculation of an optimized crystal structure of Dy8Er6In, from Alexandria via LeMat-Bulk.

**Space-group type**: No. 148
**E_tot**: -66.5 eV per cell
**Calculated formation energy**: 0.027 eV per atom
**Calculated volume**: 461.2 Å³/cell
**Excess energy over the best structure of this formula in the dataset**: 0 meV/atom

a = 8.9145 Å, b = 8.9145 Å, c = 8.4491 Å
α = 58.16°, β = 58.16°, γ = 60.00°
Closest atoms and distances in Å follow each position.
Atoms (fractional coordinates):
Dy1 0.7148 0.1083 0.4268  5 Dy 3.36-3.38, 3 Er 3.36-3.68, 1 In 3.46
Er1 0.5493 0.1047 0.1123  4 Dy 3.28-3.68, 1 In 3.33, 4 Er 3.53-3.57
In1 0.0000 0.0000 0.0000  6 Er 3.33, 6 Dy 3.46
Dy2 0.4240 0.4240 0.7279  4 Dy 3.05-3.38, 3 Er 3.28
Er2 0.1047 0.2337 0.1123  4 Dy 3.28-3.68, 1 In 3.33, 4 Er 3.53-3.57
Dy3 0.8917 0.2499 0.5732  5 Dy 3.36-3.38, 3 Er 3.36-3.68, 1 In 3.46
Er3 0.2337 0.5493 0.1123  4 Dy 3.28-3.68, 1 In 3.33, 4 Er 3.53-3.57
Dy4 0.7501 0.7148 0.4268  5 Dy 3.36-3.38, 3 Er 3.36-3.68, 1 In 3.46
Dy5 0.5760 0.5760 0.2721  4 Dy 3.05-3.38, 3 Er 3.28
Er4 0.7663 0.4507 0.8877  4 Dy 3.28-3.68, 1 In 3.33, 4 Er 3.53-3.57
Dy6 0.1083 0.7501 0.4268  5 Dy 3.36-3.38, 3 Er 3.36-3.68, 1 In 3.46
Dy7 0.2499 0.2852 0.5732  5 Dy 3.36-3.38, 3 Er 3.36-3.68, 1 In 3.46
Er5 0.8953 0.7663 0.8877  4 Dy 3.28-3.68, 1 In 3.33, 4 Er 3.53-3.57
Dy8 0.2852 0.8917 0.5732  5 Dy 3.36-3.38, 3 Er 3.36-3.68, 1 In 3.46
Er6 0.4507 0.8953 0.8877  4 Dy 3.28-3.68, 1 In 3.33, 4 Er 3.53-3.57

***

[8]
The following is a PBE calculation of an optimized crystal structure of Dy8Er5In, from Alexandria via LeMat-Bulk.

**Space-group type**: No. 82
**E_tot**: -59.7 eV per cell
**Calculated formation energy**: 0.187 eV per atom
**Calculated volume**: 448.7 Å³/cell

a = 8.3553 Å, b = 8.3551 Å, c = 8.3553 Å
α = 110.26°, β = 107.90°, γ = 110.26°
Closest atoms and distances in Å follow each position.
Atoms (fractional coordinates):
Er1 0.5000 0.0000 0.5000  8 Dy 3.11-3.30
Dy1 0.5216 0.6064 0.2620  5 Er 3.30-3.59, 4 Dy 3.55-3.67
Dy2 0.1644 0.7282 0.0694  4 Er 3.11-3.40, 1 In 3.14
Dy3 0.3412 0.2718 0.4361  4 Er 3.11-3.40, 1 In 3.14
Dy4 0.9306 0.0950 0.6588  4 Er 3.11-3.40, 1 In 3.14
Dy5 0.6556 0.3936 0.9152  5 Er 3.30-3.59, 4 Dy 3.55-3.67
Dy6 0.5639 0.9050 0.8356  4 Er 3.11-3.40, 1 In 3.14
Er2 0.2885 0.1043 0.9792  8 Dy 3.30-3.59, 2 Er 3.51
Dy7 0.7380 0.2596 0.3444  5 Er 3.30-3.59, 4 Dy 3.55-3.67
Er3 0.0208 0.3093 0.1252  8 Dy 3.30-3.59, 2 Er 3.51
Er4 0.8748 0.8957 0.1841  8 Dy 3.30-3.59, 2 Er 3.51
Er5 0.8159 0.6907 0.7115  8 Dy 3.30-3.59, 2 Er 3.51
In1 0.2500 0.5000 0.7500  4 Dy 3.14
Dy8 0.0848 0.7404 0.4784  5 Er 3.30-3.59, 4 Dy 3.55-3.67

***

[9]
The following is a PBE calculation of an optimized crystal structure of Dy2Er6In3, from Alexandria via LeMat-Bulk.

**Space-group type**: No. 139
**E_tot**: -44.5 eV per cell
**Calculated formation energy**: 0.024 eV per atom
**Calculated volume**: 335.8 Å³/cell

a = 4.4997 Å, b = 4.4997 Å, c = 16.8877 Å
α = 97.66°, β = 97.66°, γ = 90.00°
Closest atoms and distances in Å follow each position.
Atoms (fractional coordinates):
Er1 0.2873 0.2873 0.5745  5 In 3.10-3.24
In1 0.8061 0.8061 0.6121  9 Er 3.10-3.24
In2 0.0000 0.0000 0.0000  8 Dy 3.52
In3 0.1939 0.1939 0.3879  9 Er 3.10-3.24
Er2 0.7127 0.7127 0.4255  5 In 3.10-3.24
Er3 0.6276 0.1276 0.2553  2 In 3.15, 4 Er 3.18
Dy1 0.4550 0.4550 0.9099  1 Dy 2.99
Dy2 0.5450 0.5450 0.0901  1 Dy 2.99
Er4 0.3724 0.8724 0.7447  2 In 3.15, 4 Er 3.18
Er5 0.8724 0.3724 0.7447  2 In 3.15, 4 Er 3.18
Er6 0.1276 0.6276 0.2553  2 In 3.15, 4 Er 3.18

***

[10]
The following is a PBE calculation of an optimized crystal structure of Dy2ErIn4, from Alexandria via LeMat-Bulk.

**Space-group type**: No. 139
**E_tot**: -26.9 eV per cell
**Calculated formation energy**: -0.311 eV per atom
**Calculated volume**: 199.3 Å³/cell

a = 5.2344 Å, b = 5.2344 Å, c = 8.1602 Å
α = 108.71°, β = 108.71°, γ = 90.00°
Closest atoms and distances in Å follow each position.
Atoms (fractional coordinates):
Dy1 0.2505 0.2505 0.5009  8 In 3.27-3.28, 1 Er 3.64
In1 0.8858 0.3858 0.7716  2 Er 3.10, 4 Dy 3.27-3.28, 1 In 3.32
Er1 0.0000 0.0000 0.0000  8 In 3.10
In2 0.3858 0.8858 0.7716  2 Er 3.10, 4 Dy 3.27-3.28, 1 In 3.32
In3 0.6142 0.1142 0.2284  2 Er 3.10, 4 Dy 3.27-3.28, 1 In 3.32
Dy2 0.7495 0.7495 0.4991  8 In 3.27-3.28, 1 Er 3.64
In4 0.1142 0.6142 0.2284  2 Er 3.10, 4 Dy 3.27-3.28, 1 In 3.32

***

Sequential magnetic moment output: 0.00; 0.00; 0.00; 0.00; 0.00; 0.00; 0.00; 0.00; 0.00; 0.00 μB/f.u.